Record 1
{"formula": "ErPaNi4", "functional": "PBE", "state": "relaxed", "dos_at_fermi_per_ev_atom": 1.25, "magnetic_moment_mub_per_cell": 0.0, "ef_ev_per_atom": -0.382, "sg": "F-43m (216)", "cell": [[-2.802, -0.490, -4.171], [-3.664, -3.468, -0.186], [-4.840, 1.437, 0.027]], "species": ["Ni", "Ni", "Ni", "Er", "Pa", "Ni"], "fractional_positions": [[0.625, 0.625, 0.625], [0.125, 0.625, 0.625], [0.625, 0.625, 0.125], [0.000, 0.000, 0.000], [0.250, 0.250, 0.250], [0.625, 0.125, 0.625]]}


Record 2
{"formula": "NpZnHg", "functional": "PBE", "state": "relaxed", "dos_at_fermi_per_ev_atom": 1.23, "magnetic_moment_mub_per_cell": 5.4, "ef_ev_per_atom": 0.253, "sg": "R-3m (166)", "relative_energy_ev_per_atom": 0.193, "cell": [[4.382, 0.000, 0.000], [2.191, 3.795, 0.000], [2.191, 1.265, 7.694]], "species": ["Np", "Hg", "Np", "Hg", "Zn", "Zn"], "fractional_positions": [[0.845, 0.845, 0.466], [0.295, 0.295, 0.116], [0.155, 0.155, 0.534], [0.705, 0.705, 0.884], [0.420, 0.420, 0.739], [0.580, 0.580, 0.261]]}


Record 3
{"formula": "Mn2CoPb", "functional": "PBE", "state": "relaxed", "dos_at_fermi_per_ev_atom": 0.71, "magnetic_moment_mub_per_cell": 7.7, "ef_ev_per_atom": 0.382, "sg": "Immm (71)", "relative_energy_ev_per_atom": 0.066, "cell": [[-3.111, 0.263, 3.667], [2.352, -0.757, 4.134], [0.825, 2.991, -3.683]], "species": ["Mn", "Mn", "Co", "Pb"], "fractional_positions": [[0.498, 0.498, 0.000], [0.002, 0.002, 0.000], [0.250, 0.750, 0.500], [0.750, 0.250, 0.500]]}